(1)
## Hf2ZnPd9 (PBE)

Data for a geometry-optimized Hf2ZnPd9 structure.

Calculated formation energy: -712 meV per atom
Total magnetic moment: 0.000 μB/cell
Calculated volume: 15.78 Å³/atom

```
Hf2ZnPd9
1.0
3.9982 0.0000 0.0000
0.0000 3.9982 0.0000
0.0000 0.0000 11.8492
Hf Zn Pd
2 1 9
Cartesian
0.0000 0.0000 2.0569
0.0000 0.0000 9.7923
0.0000 0.0000 5.9246
0.0000 1.9991 0.0000
0.0000 1.9991 3.9750
0.0000 1.9991 7.8742
1.9991 0.0000 0.0000
1.9991 0.0000 3.9750
1.9991 0.0000 7.8742
1.9991 1.9991 1.9811
1.9991 1.9991 5.9246
1.9991 1.9991 9.8681
```

(2)
## Hf2Zn3Pd3 (PBE)

Data for a geometry-optimized Hf2Zn3Pd3 structure.

Calculated formation energy: -364 meV per atom
Total magnetic moment: 0.000 μB/cell
Calculated volume: 18.26 Å³/atom

```
Hf2Zn3Pd3
1.0
7.7820 0.0000 0.0000
-3.8910 6.7394 0.0000
0.0000 0.0000 5.5720
Hf Zn Pd
4 6 6
Cartesian
0.0000 4.4930 0.0000
0.0000 4.4930 2.7860
3.8910 2.2465 0.0000
3.8910 2.2465 2.7860
-1.1532 1.9975 1.3930
-2.7378 4.7420 4.1790
2.3065 0.0000 1.3930
1.1532 1.9975 4.1790
5.4756 0.0000 4.1790
2.7378 4.7420 1.3930
-1.3956 2.4172 4.1790
-2.4954 4.3222 1.3930
2.7912 0.0000 4.1790
1.3956 2.4172 1.3930
4.9909 0.0000 1.3930
2.4954 4.3222 4.1790
```

(3)
## Hf3ZnPd4 (PBE)

Data for a geometry-optimized Hf3ZnPd4 structure.

Calculated formation energy: -610 meV per atom
Total magnetic moment: 0.000 μB/cell
Calculated volume: 17.45 Å³/atom

```
Hf3ZnPd4
1.0
4.8333 0.0000 0.0000
0.0000 4.8333 0.0000
0.0000 0.0000 5.9767
Hf Zn Pd
3 1 4
Cartesian
0.0000 0.0000 0.0000
0.0000 0.0000 2.9883
2.4166 2.4166 0.0000
2.4166 2.4166 2.9883
0.0000 2.4166 1.4843
0.0000 2.4166 4.4923
2.4166 0.0000 1.4843
2.4166 0.0000 4.4923
```

(4)
## HfZn2Pd4 (PBE)

Data for a geometry-optimized HfZn2Pd4 structure.

ΔE to the lowest computed polymorph: 42.5 meV per atom
Calculated formation energy: -489 meV per atom
Total magnetic moment: 0.000 μB/cell
Calculated volume: 16.76 Å³/atom

```
HfZn2Pd4
1.0
-1.9965 1.9965 7.3565
1.9965 -1.9965 7.3565
1.9965 1.9965 -7.3565
Hf Zn Pd
1 2 4
Cartesian
0.0000 0.0000 0.0000
0.0000 0.0000 3.7457
0.0000 0.0000 10.9672
1.9965 0.0000 1.8595
1.9965 0.0000 5.4970
0.0000 1.9965 1.8595
0.0000 1.9965 5.4970
```

(5)
## Hf2Zn3Pd (PBE)

Data for a geometry-optimized Hf2Zn3Pd structure.

ΔE to the lowest computed polymorph: 0.0 meV per atom
Calculated formation energy: -358 meV per atom
Total magnetic moment: 0.000 μB/cell
Calculated volume: 16.82 Å³/atom

```
Hf2Zn3Pd
1.0
0.0000 4.4762 7.7256
2.9186 0.0000 7.7256
2.9186 4.4762 0.0000
Hf Zn Pd
4 6 2
Cartesian
4.3948 4.4762 7.7256
1.4593 2.2381 3.8628
4.3779 6.7143 11.5884
1.4424 4.4762 7.7256
2.9186 2.2609 6.4540
2.9186 2.2609 8.9971
2.9186 4.4762 5.1862
2.9186 4.4762 10.2650
2.9186 6.6914 6.4540
2.9186 6.6914 8.9971
2.9186 4.4762 2.5753
2.9186 4.4762 12.8759
```

(6)
## Hf6ZnPd12 (PBE)

Data for a geometry-optimized Hf6ZnPd12 structure.

Calculated formation energy: -617 meV per atom
Total magnetic moment: 0.000 μB/cell
Calculated volume: 17.44 Å³/atom

```
Hf6ZnPd12
1.0
5.0674 2.9256 3.7258
-5.0674 2.9256 3.7258
0.0000 -5.8513 3.7258
Hf Zn Pd
6 1 12
Cartesian
-2.8185 0.6561 4.8255
-1.9775 -2.1128 6.3521
0.8410 -2.7689 4.8255
-0.8410 2.7689 6.3521
1.9775 2.1128 4.8255
2.8185 -0.6561 6.3521
0.0000 0.0000 5.5888
-4.7011 -1.2622 6.3011
-1.2574 -4.7023 4.8764
-1.1878 -1.2222 3.6667
-3.4437 3.4401 4.8764
-0.4646 1.6398 3.6667
1.6524 -0.4175 3.6667
-1.6524 0.4175 7.5109
0.4646 -1.6398 7.5109
3.4437 -3.4401 6.3011
1.1878 1.2223 7.5109
1.2574 4.7024 6.3011
4.7011 1.2622 4.8764
```

(7)
## HfZn2Pd2 (PBE)

Data for a geometry-optimized HfZn2Pd2 structure.

ΔE to the lowest computed polymorph: 0.0 meV per atom
Calculated formation energy: -514 meV per atom
Total magnetic moment: 0.000 μB/cell
Calculated volume: 15.96 Å³/atom

```
HfZn2Pd2
1.0
5.0047 -2.3758 0.0000
5.0047 2.3758 0.0000
-2.6553 0.0000 6.7105
Hf Zn Pd
2 4 4
Cartesian
3.0132 1.5442 5.0329
4.3409 -1.5442 1.6776
0.2562 0.9049 4.4082
1.5839 -0.9049 1.0529
5.7702 0.9049 5.6576
7.0979 -0.9049 2.3023
3.8517 0.8447 0.2953
4.8300 0.8447 3.0599
2.5241 -0.8447 3.6506
3.5024 -0.8447 6.4152
```

(8)
## Hf3Zn2Pd3 (PBE)

Data for a geometry-optimized Hf3Zn2Pd3 structure.

Calculated formation energy: -572 meV per atom
Total magnetic moment: 0.000 μB/cell
Calculated volume: 17.60 Å³/atom

```
Hf3Zn2Pd3
1.0
7.9061 0.0000 0.0000
-3.9531 6.8469 0.0000
0.0000 0.0000 5.2028
Hf Zn Pd
6 4 6
Cartesian
-0.9896 1.7140 1.3007
-2.9635 5.1329 3.9021
1.9792 0.0000 1.3007
0.9896 1.7140 3.9021
5.9270 0.0000 3.9021
2.9635 5.1329 1.3007
0.0000 4.5646 0.0000
0.0000 4.5646 2.6014
3.9531 2.2823 0.0000
3.9531 2.2823 2.6014
-1.5680 2.7158 3.9021
-2.3851 4.1311 1.3007
3.1359 0.0000 3.9021
1.5680 2.7158 1.3007
4.7702 0.0000 1.3007
2.3851 4.1311 3.9021
```

(9)
## HfZn4Pd (PBE)

Data for a geometry-optimized HfZn4Pd structure.

ΔE to the lowest computed polymorph: 0.0 meV per atom
Calculated formation energy: -311 meV per atom
Total magnetic moment: 0.000 μB/cell
Calculated volume: 15.65 Å³/atom

```
HfZn4Pd
1.0
4.3501 0.0000 0.0000
-2.1751 3.7673 0.0000
0.0000 0.0000 5.7291
Hf Zn Pd
1 4 1
Cartesian
0.0000 0.0000 0.0000
0.0000 2.5115 1.4915
0.0000 2.5115 4.2376
2.1751 1.2558 1.4915
2.1751 1.2558 4.2376
0.0000 0.0000 2.8646
```

(10)
## HfZn2Pd9 (PBE)

Data for a geometry-optimized HfZn2Pd9 structure.

Calculated formation energy: -503 meV per atom
Total magnetic moment: 0.000 μB/cell
Calculated volume: 15.42 Å³/atom

```
HfZn2Pd9
1.0
3.9568 0.0000 0.0000
0.0000 3.9568 0.0000
0.0000 0.0000 11.8229
Hf Zn Pd
1 2 9
Cartesian
0.0000 0.0000 0.0000
0.0000 0.0000 4.0282
0.0000 0.0000 7.7947
0.0000 1.9784 2.0085
0.0000 1.9784 5.9115
0.0000 1.9784 9.8145
1.9784 0.0000 2.0085
1.9784 0.0000 5.9115
1.9784 0.0000 9.8145
1.9784 1.9784 0.0000
1.9784 1.9784 3.9436
1.9784 1.9784 7.8793
```

(11)
## Hf6Zn3Pd (PBE)

Data for a geometry-optimized Hf6Zn3Pd structure.

Calculated formation energy: 37 meV per atom
Total magnetic moment: 0.000 μB/cell
Calculated volume: 20.34 Å³/atom

```
Hf6Zn3Pd
1.0
5.2288 0.0000 0.0000
0.0000 8.3759 0.0000
-5.0181 0.0000 9.2889
Hf Zn Pd
12 6 2
Cartesian
-2.0586 1.5068 4.1196
-4.5676 2.6811 8.7640
-0.3369 5.7222 4.2106
-2.8459 6.8416 8.8550
0.7634 1.0197 2.3039
-1.7456 3.1683 6.9483
1.9564 5.2076 2.3406
-0.5527 7.3562 6.9850
3.0566 1.5343 0.4339
0.5476 2.6536 5.0783
4.7784 5.6948 0.5249
2.2693 6.8690 5.1693
-3.1460 0.7212 6.9965
-0.6369 3.4667 2.3521
0.1054 0.0000 4.6444
2.6144 4.1879 0.0000
0.8477 4.9091 6.9368
3.3567 7.6546 2.2924
0.0000 0.0000 0.0000
-2.5091 4.1879 4.6444
```

(12)
## HfZnPd3 (PBE)

Data for a geometry-optimized HfZnPd3 structure.

ΔE to the lowest computed polymorph: 1177.8 meV per atom
Calculated formation energy: 599 meV per atom
Total magnetic moment: 0.000 μB/cell
Calculated volume: 23.24 Å³/atom

```
HfZnPd3
1.0
4.8795 0.0000 0.0000
0.0000 4.8795 0.0000
0.0000 0.0000 4.8795
Hf Zn Pd
1 1 3
Cartesian
0.0000 0.0000 0.0000
2.4398 2.4398 2.4398
0.0000 0.0000 2.4398
0.0000 2.4398 0.0000
2.4398 0.0000 0.0000
```